# 1
{
  "formula": "YBeIn",
  "functional": "GGA-PBE",
  "state": "relaxed",
  "ef_ev_per_atom": -0.156,
  "de_polymorph_ev_per_atom": 0.1121,
  "sg": "P2_1/m",
  "cell": [[5.4474, 0.0000, 0.0000], [0.0000, 3.9262, 0.0000], [-0.6187, 0.0000, 6.0550]],
  "species": ["Y", "Y", "Be", "Be", "In", "In"],
  "frac_coords": [[0.1001, 0.2500, 0.2685], [0.8999, 0.7500, 0.7315], [0.3938, 0.7500, 0.5196], [0.6062, 0.2500, 0.4804], [0.3776, 0.2500, 0.8114], [0.6224, 0.7500, 0.1886]]
}


# 2
{
  "formula": "CsBi2OsBr",
  "functional": "GGA-PBE",
  "state": "relaxed",
  "sg": "P4/mmm",
  "raw_formation_energy_kj_per_mol_atoms": 20.4,
  "cell": [[5.2626, 0.0000, 0.0000], [0.0000, 5.2626, 0.0000], [0.0000, 0.0000, 6.3384]],
  "species": ["Cs", "Bi", "Bi", "Os", "Br"],
  "frac_coords": [[0.0000, 0.0000, 0.0000], [0.0000, 0.5000, 0.5000], [0.5000, 0.0000, 0.5000], [0.5000, 0.5000, 0.5000], [0.5000, 0.5000, 0.0000]]
}


# 3
{
  "formula": "Ba2ZnNiBr",
  "functional": "GGA-PBE",
  "state": "relaxed",
  "sg": "P4/mmm",
  "raw_formation_energy_kj_per_mol_atoms": -58.4,
  "cell": [[5.9744, 0.0000, 0.0000], [0.0000, 5.9744, 0.0000], [0.0000, 0.0000, 4.6557]],
  "species": ["Ba", "Ba", "Zn", "Ni", "Br"],
  "frac_coords": [[0.0000, 0.5000, 0.0000], [0.5000, 0.0000, 0.0000], [0.0000, 0.0000, 0.5000], [0.0000, 0.0000, 0.0000], [0.5000, 0.5000, 0.5000]]
}


# 4
{
  "formula": "ErGe3Ru2",
  "functional": "GGA-PBE",
  "state": "relaxed",
  "ef_ev_per_atom": -0.502,
  "sg": "Cmcm",
  "cell": [[2.1239, -5.8709, 0.0000], [2.1239, 5.8709, 0.0000], [0.0000, 0.0000, 8.4482]],
  "species": ["Er", "Er", "Ge", "Ge", "Ge", "Ge", "Ge", "Ge", "Ru", "Ru", "Ru", "Ru"],
  "frac_coords": [[0.1854, 0.8146, 0.7500], [0.8146, 0.1854, 0.2500], [0.1326, 0.8674, 0.2500], [0.3775, 0.6225, 0.0240], [0.3775, 0.6225, 0.4760], [0.6225, 0.3775, 0.5240], [0.6225, 0.3775, 0.9760], [0.8674, 0.1326, 0.7500], [0.0000, 0.0000, 0.0000], [0.0000, 0.0000, 0.5000], [0.4714, 0.5286, 0.7500], [0.5286, 0.4714, 0.2500]]
}


# 5
{
  "formula": "La3NpSn12",
  "functional": "GGA-PBE",
  "state": "relaxed",
  "ef_ev_per_atom": -0.472,
  "sg": "P4/mmm",
  "cell": [[4.7633, 0.0000, 0.0000], [0.0000, 4.7633, 0.0000], [0.0000, 0.0000, 19.0815]],
  "species": ["La", "La", "La", "Np", "Sn", "Sn", "Sn", "Sn", "Sn", "Sn", "Sn", "Sn", "Sn", "Sn", "Sn", "Sn"],
  "frac_coords": [[0.0000, 0.0000, 0.0000], [0.0000, 0.0000, 0.2555], [0.0000, 0.0000, 0.7445], [0.0000, 0.0000, 0.5000], [0.0000, 0.5000, 0.1276], [0.0000, 0.5000, 0.3815], [0.0000, 0.5000, 0.6185], [0.0000, 0.5000, 0.8724], [0.5000, 0.0000, 0.1276], [0.5000, 0.0000, 0.3815], [0.5000, 0.0000, 0.6185], [0.5000, 0.0000, 0.8724], [0.5000, 0.5000, 0.0000], [0.5000, 0.5000, 0.2542], [0.5000, 0.5000, 0.5000], [0.5000, 0.5000, 0.7458]]
}


# 6
{
  "formula": "CdCu2Ir",
  "functional": "GGA-PBE",
  "state": "relaxed",
  "ef_ev_per_atom": 0.221,
  "sg": "Immm",
  "cell": [[2.9682, 0.0000, 0.0000], [0.0000, 4.5700, 0.0000], [0.0000, 0.0000, 8.8659]],
  "species": ["Cd", "Cd", "Cu", "Cu", "Cu", "Cu", "Ir", "Ir"],
  "frac_coords": [[0.0000, 0.0000, 0.0000], [0.5000, 0.5000, 0.5000], [0.0000, 0.5000, 0.2403], [0.0000, 0.5000, 0.7597], [0.5000, 0.0000, 0.2597], [0.5000, 0.0000, 0.7403], [0.0000, 0.0000, 0.5000], [0.5000, 0.5000, 0.0000]]
}


# 7
{
  "formula": "PmScP2",
  "functional": "GGA-PBE",
  "state": "relaxed",
  "ef_ev_per_atom": -1.356,
  "de_polymorph_ev_per_atom": 0.1362,
  "sg": "R3m",
  "cell": [[3.9057, 0.0000, 0.0000], [-1.9528, 3.3824, 0.0000], [0.0000, 0.0000, 20.0666]],
  "species": ["Pm", "Pm", "Pm", "Sc", "Sc", "Sc", "P", "P", "P", "P", "P", "P"],
  "frac_coords": [[0.0000, 0.0000, 0.0000], [0.3333, 0.6667, 0.6667], [0.6667, 0.3333, 0.3333], [0.0000, 0.0000, 0.1718], [0.3333, 0.6667, 0.8385], [0.6667, 0.3333, 0.5051], [0.0000, 0.0000, 0.5779], [0.0000, 0.0000, 0.7614], [0.3333, 0.6667, 0.2446], [0.3333, 0.6667, 0.4280], [0.6667, 0.3333, 0.0947], [0.6667, 0.3333, 0.9112]]
}


# 8
{
  "formula": "PmSm4Al2",
  "functional": "GGA-PBE",
  "state": "relaxed",
  "ef_ev_per_atom": -0.083,
  "de_polymorph_ev_per_atom": 0.0000,
  "sg": "P2_1/c",
  "cell": [[6.1166, 0.0000, 0.0000], [0.0000, 10.5614, 0.0000], [-2.4162, 0.0000, 6.4846]],
  "species": ["Pm", "Pm", "Sm", "Sm", "Sm", "Sm", "Sm", "Sm", "Sm", "Sm", "Al", "Al", "Al", "Al"],
  "frac_coords": [[0.0000, 0.0000, 0.0000], [0.0000, 0.5000, 0.5000], [0.0011, 0.1587, 0.5004], [0.0011, 0.3413, 0.0004], [0.4989, 0.7089, 0.4995], [0.4989, 0.7911, 0.9995], [0.5011, 0.2089, 0.0005], [0.5011, 0.2911, 0.5005], [0.9989, 0.6587, 0.9996], [0.9989, 0.8413, 0.4996], [0.4833, 0.9999, 0.6797], [0.4833, 0.5001, 0.1797], [0.5167, 0.0001, 0.3203], [0.5167, 0.4999, 0.8203]]
}


# 9
{
  "formula": "AcMnTl2Se4",
  "functional": "GGA-PBE",
  "state": "relaxed",
  "sg": "C2/c",
  "raw_formation_energy_kj_per_mol_atoms": -78.5,
  "cell": [[6.1829, -6.1145, 0.0000], [6.1829, 6.1145, 0.0000], [-5.6319, 0.0000, 6.1613]],
  "species": ["Ac", "Ac", "Mn", "Mn", "Tl", "Tl", "Tl", "Tl", "Se", "Se", "Se", "Se", "Se", "Se", "Se", "Se"],
  "frac_coords": [[0.0000, 0.5000, 0.0000], [0.5000, 0.0000, 0.5000], [0.0000, 0.0000, 0.0000], [0.0000, 0.0000, 0.5000], [0.0000, 0.5000, 0.5000], [0.5000, 0.0000, 0.0000], [0.5000, 0.5000, 0.0000], [0.5000, 0.5000, 0.5000], [0.1952, 0.1951, 0.4458], [0.1951, 0.1952, 0.9458], [0.2267, 0.7734, 0.0060], [0.2266, 0.7733, 0.4940], [0.7734, 0.2267, 0.5060], [0.7733, 0.2266, 0.9940], [0.8049, 0.8048, 0.0542], [0.8048, 0.8049, 0.5542]]
}


# 10
{
  "formula": "YMgCu2",
  "functional": "GGA-PBE",
  "state": "relaxed",
  "ef_ev_per_atom": -0.065,
  "sg": "R3m",
  "cell": [[4.2655, 0.0000, 0.0000], [-2.1328, 3.6940, 0.0000], [0.0000, 0.0000, 15.3020]],
  "species": ["Y", "Y", "Y", "Mg", "Mg", "Mg", "Cu", "Cu", "Cu", "Cu", "Cu", "Cu"],
  "frac_coords": [[0.0000, 0.0000, 0.0000], [0.3333, 0.6667, 0.6667], [0.6667, 0.3333, 0.3333], [0.0000, 0.0000, 0.1979], [0.3333, 0.6667, 0.8646], [0.6667, 0.3333, 0.5312], [0.0000, 0.0000, 0.4458], [0.0000, 0.0000, 0.7870], [0.3333, 0.6667, 0.1124], [0.3333, 0.6667, 0.4537], [0.6667, 0.3333, 0.1204], [0.6667, 0.3333, 0.7791]]
}


# 11
{
  "formula": "ErPuInO6",
  "functional": "GGA-PBE",
  "state": "relaxed",
  "sg": "P-31c",
  "raw_formation_energy_kj_per_mol_atoms": -236.1,
  "cell": [[5.6560, 0.0000, 0.0000], [-2.8280, 4.8983, 0.0000], [0.0000, 0.0000, 9.1039]],
  "species": ["Er", "Er", "Pu", "Pu", "In", "In", "O", "O", "O", "O", "O", "O", "O", "O", "O", "O", "O", "O"],
  "frac_coords": [[0.3333, 0.6667, 0.2500], [0.6667, 0.3333, 0.7500], [0.3333, 0.6667, 0.7500], [0.6667, 0.3333, 0.2500], [0.0000, 0.0000, 0.0000], [0.0000, 0.0000, 0.5000], [0.0231, 0.3506, 0.6306], [0.0231, 0.6725, 0.8694], [0.3275, 0.3506, 0.8694], [0.3275, 0.9769, 0.6306], [0.3506, 0.0231, 0.1306], [0.3506, 0.3275, 0.3694], [0.6494, 0.6725, 0.6306], [0.6494, 0.9769, 0.8694], [0.6725, 0.0231, 0.3694], [0.6725, 0.6494, 0.1306], [0.9769, 0.3275, 0.1306], [0.9769, 0.6494, 0.3694]]
}


# 12
{
  "formula": "YSiNi3",
  "functional": "GGA-PBE",
  "state": "relaxed",
  "de_polymorph_ev_per_atom": 0.4395,
  "sg": "Amm2",
  "raw_formation_energy_kj_per_mol_atoms": -7.8,
  "cell": [[2.7928, 0.0000, 0.0000], [0.0000, 1.7916, 14.9065], [0.0000, -1.7916, 14.9065]],
  "species": ["Y", "Y", "Si", "Si", "Ni", "Ni", "Ni", "Ni", "Ni", "Ni"],
  "frac_coords": [[0.0000, 0.0000, 0.0000], [0.0000, 0.2537, 0.2537], [0.5000, 0.4270, 0.4270], [0.5000, 0.8243, 0.8243], [0.0000, 0.3492, 0.3492], [0.0000, 0.5681, 0.5681], [0.0000, 0.6491, 0.6491], [0.0000, 0.9041, 0.9041], [0.5000, 0.0967, 0.0967], [0.5000, 0.1772, 0.1772]]
}


E (computed, eV/atom): -4.465, -4.092, -3.120, -6.663, -5.207, -4.272, -6.831, -4.528, -4.807, -4.128, -8.157, -5.927